Record 1
First-principles (PBE) data for a relaxed structure of TePb2, as listed in the Alexandria database.

The raw formation energy comes out at -0.115 eV/atom. The value obtained for the total magnetization is 0.000 Bohr magnetons per cell. The calculation puts the density of states at the Fermi level at 4.460 states/eV per cell. The theoretical density comes out at 9.17 Mg/m³. For the distance to the lowest polymorph of the same formula, the calculation gives 0.0224 eV per atom.

a = 12.036 Å, b = 4.179 Å, c = 8.125 Å
α = 90.00°, β = 106.08°, γ = 90.00°
Space group Cm (No. 8)
Asymmetric unit:
Te 0.000 0.000 0.000 (multiplicity 2)
Te 0.243 0.500 0.394 (multiplicity 2)
Pb 0.025 0.000 0.433 (multiplicity 2)
Pb 0.141 0.500 0.802 (multiplicity 2)
Pb 0.323 0.000 0.128 (multiplicity 2)
Pb 0.353 0.000 0.695 (multiplicity 2)

=====

Record 2
First-principles (PBE) data for a relaxed structure of YTlBiSe2, as listed in the Alexandria database.

The raw formation energy comes out at 0.141 eV/atom. The value obtained for the total magnetization is 0.000 Bohr magnetons per cell. The calculation puts the density of states at the Fermi level at 3.695 states/eV per cell. The theoretical density comes out at 5.85 Mg/m³.

a = 5.668 Å, b = 5.668 Å, c = 5.829 Å
α = 90.00°, β = 90.00°, γ = 90.00°
Space group P4/mmm (No. 123)
Asymmetric unit:
Y 0.000 0.000 0.000 (multiplicity 1)
Tl 0.500 0.500 0.000 (multiplicity 1)
Bi 0.000 0.000 0.500 (multiplicity 1)
Se 0.000 0.500 0.500 (multiplicity 2)

=====

Record 3
First-principles (PBE) data for a relaxed structure of SiGePt, as listed in the Alexandria database.

The raw formation energy comes out at -0.274 eV/atom. The value obtained for the total magnetization is 0.000 Bohr magnetons per cell. The calculation puts the density of states at the Fermi level at 4.141 states/eV per cell. The theoretical density comes out at 8.97 Mg/m³. For the distance to the lowest polymorph of the same formula, the calculation gives 0.1158 eV per atom.

a = 5.737 Å, b = 5.714 Å, c = 7.214 Å
α = 90.00°, β = 112.07°, γ = 90.00°
Space group C2/m (No. 12)
Asymmetric unit:
Si 0.000 0.250 0.000 (multiplicity 4)
Ge 0.250 0.250 0.500 (multiplicity 4)
Pt 0.156 0.000 0.802 (multiplicity 4)

=====

Record 4
First-principles (PBE) data for a relaxed structure of Y6HoIn2, as listed in the Alexandria database.

The value obtained for the total magnetization is 0.000 Bohr magnetons per cell. The calculation puts the density of states at the Fermi level at 23.657 states/eV per cell. The theoretical density comes out at 5.67 Mg/m³. The value obtained for the energy of formation from the pure elements is -21.5 kJ per mole of atoms.

a = 12.744 Å, b = 3.743 Å, c = 11.980 Å
α = 90.00°, β = 107.91°, γ = 90.00°
Space group C2/m (No. 12)
Asymmetric unit:
Y 0.017 0.000 0.341 (multiplicity 4)
Y 0.183 0.500 0.877 (multiplicity 4)
Y 0.191 0.500 0.587 (multiplicity 4)
Ho 0.000 0.000 0.000 (multiplicity 2)
In 0.143 0.500 0.203 (multiplicity 4)

=====

Record 5
First-principles (PBE) data for a relaxed structure of NaNiS2Cl, as listed in the Alexandria database.

The raw formation energy comes out at 0.977 eV/atom. The value obtained for the total magnetization is 2.212 Bohr magnetons per cell. The calculation puts the density of states at the Fermi level at 16.346 states/eV per cell. The theoretical density comes out at 2.45 Mg/m³. For the distance to the lowest polymorph of the same formula, the calculation gives 1.3180 eV per atom.

a = 5.010 Å, b = 5.010 Å, c = 4.901 Å
α = 90.00°, β = 90.00°, γ = 90.00°
Space group P4/mmm (No. 123)
Asymmetric unit:
Na 0.000 0.000 0.000 (multiplicity 1)
Ni 0.500 0.500 0.500 (multiplicity 1)
S 0.000 0.500 0.000 (multiplicity 2)
Cl 0.000 0.000 0.500 (multiplicity 1)

=====

Record 6
First-principles (PBE) data for a relaxed structure of TbY7Tm3, as listed in the Alexandria database.

The value obtained for the total magnetization is 0.717 Bohr magnetons per cell. The calculation puts the density of states at the Fermi level at 32.538 states/eV per cell. The theoretical density comes out at 5.94 Mg/m³. For the distance to the lowest polymorph of the same formula, the calculation gives 0.1199 eV per atom. The value obtained for the energy of formation from the pure elements is 25.7 kJ per mole of atoms.

a = 12.511 Å, b = 11.233 Å, c = 5.765 Å
α = 90.00°, β = 117.34°, γ = 90.00°
Space group C2/m (No. 12)
Asymmetric unit:
Tb 0.000 0.000 0.000 (multiplicity 2)
Y 0.000 0.000 0.500 (multiplicity 2)
Y 0.196 0.297 0.196 (multiplicity 8)
Y 0.206 0.500 0.705 (multiplicity 4)
Tm 0.000 0.293 0.500 (multiplicity 4)
Tm 0.000 0.500 0.000 (multiplicity 2)